Entry 1:
The following is a PBE calculation of a geometry-optimized Ac2Bi2Pd3 structure, from Alexandria.

Values from the calculation:
The value obtained for the formation energy from the elements is -755 meV per atom. The crystal system is cubic. The final energy is -73.68 eV/cell.

```
Ac2Bi2Pd3
1.0
-1.5500 6.3576 4.5495
2.0669 -6.1443 4.6364
5.9820 1.6960 -4.9860
Ac Bi Pd
4 4 6
Direct
0.0000 0.0000 0.4893
0.5000 0.4893 0.5000
0.5107 0.0107 0.0107
0.9893 0.5000 0.0000
0.0000 0.0000 0.9187
0.5000 0.9187 0.5000
0.0813 0.5813 0.5813
0.4187 0.5000 0.0000
0.7635 0.7500 0.0135
0.7365 0.2500 0.4865
0.9865 0.2365 0.2500
0.5135 0.2635 0.7500
0.2500 0.0135 0.2635
0.7500 0.4865 0.2365
```

Entry 2:
The following is a PBE calculation of a geometry-optimized Sr2TcSbO6 structure, from Alexandria.

Values from the calculation:
Its formation energy (no corrections) is -1.95 eV/atom. The crystal system is cubic. The final energy is -134.30 eV/cell.

```
Sr2TcSbO6
1.0
5.8130 0.0000 0.0000
0.0000 5.8142 0.0000
0.0000 0.0000 8.2228
Sr Tc Sb O
4 2 2 12
Direct
0.5000 0.7503 0.2501
0.0000 0.2497 0.7501
0.5000 0.7503 0.7499
0.0000 0.2497 0.2499
0.0000 0.7500 0.5000
0.5000 0.2500 0.0000
0.5000 0.2502 0.5000
0.0000 0.7498 0.0000
0.5000 0.2499 0.2485
0.5000 0.2499 0.7515
0.0000 0.7501 0.2515
0.0000 0.7501 0.7485
0.2485 0.9987 0.5000
0.7515 0.9987 0.5000
0.2486 0.5016 0.5000
0.7514 0.5016 0.5000
0.7486 0.4984 0.0000
0.2514 0.4984 0.0000
0.2515 0.0013 0.0000
0.7485 0.0013 0.0000
```

Entry 3:
The following is a PBE calculation of a geometry-optimized Ba4AlZn structure, from Alexandria.

Values from the calculation:
The value obtained for the formation energy from the elements is 6 meV per atom. The crystal system is trigonal. The final energy is -12.67 eV/cell.

```
Ba4AlZn
1.0
-4.3600 -3.6249 -1.5173
0.8163 -5.8103 0.1825
-4.2252 -3.2884 8.6443
Ba Al Zn
4 1 1
Direct
0.6239 0.6238 0.1284
0.3761 0.3762 0.8716
0.1257 0.1258 0.6227
0.8743 0.8742 0.3773
0.5000 0.5000 0.5000
0.0000 0.0000 0.0000
```